(1)
# SbRhI2N | the Alexandria database | GGA-PBE | relaxed
data_SbRhI2N
_symmetry_space_group_name_H-M 'P 4/m m m'
_symmetry_Int_Tables_number 123
_symmetry_space_group_name_Hall '-P 4 2'
_cell_length_a 5.661
_cell_length_b 5.661
_cell_length_c 4.949
_cell_angle_alpha 90.00
_cell_angle_beta 90.00
_cell_angle_gamma 90.00
loop_
_atom_site_label
_atom_site_fract_x
_atom_site_fract_y
_atom_site_fract_z
Sb1 0.000 0.000 0.000
Rh1 0.000 0.000 0.500
I1 0.000 0.500 0.500
N1 0.500 0.500 0.000
# Crystal system ... tetragonal

***

(2)
# SbRhI2N | the Alexandria database | GGA-PBE | relaxed
data_SbRhI2N
_symmetry_space_group_name_H-M 'P 4/m m m'
_symmetry_Int_Tables_number 123
_symmetry_space_group_name_Hall '-P 4 2'
_cell_length_a 4.770
_cell_length_b 4.770
_cell_length_c 4.861
_cell_angle_alpha 90.00
_cell_angle_beta 90.00
_cell_angle_gamma 90.00
loop_
_atom_site_label
_atom_site_fract_x
_atom_site_fract_y
_atom_site_fract_z
Sb1 0.000 0.000 0.000
Rh1 0.500 0.500 0.000
I1 0.000 0.500 0.500
N1 0.000 0.000 0.500
# Crystal system ... tetragonal

***

In terms of stability, (1) leads; the second structure lies 7.3 kJ/mol of atoms higher.

***

(1)
# SbRhI2N | the Alexandria database | GGA-PBE | relaxed
data_SbRhI2N
_symmetry_space_group_name_H-M 'P 4/m m m'
_symmetry_Int_Tables_number 123
_symmetry_space_group_name_Hall '-P 4 2'
_cell_length_a 6.048
_cell_length_b 6.048
_cell_length_c 3.920
_cell_angle_alpha 90.00
_cell_angle_beta 90.00
_cell_angle_gamma 90.00
loop_
_atom_site_label
_atom_site_fract_x
_atom_site_fract_y
_atom_site_fract_z
Sb1 0.000 0.000 0.000
Rh1 0.500 0.500 0.500
I1 0.000 0.500 0.000
N1 0.000 0.000 0.500
# Crystal system ... tetragonal

***

(2)
# SbRhI2N | the Alexandria database | GGA-PBE | relaxed
data_SbRhI2N
_symmetry_space_group_name_H-M 'P 4/m m m'
_symmetry_Int_Tables_number 123
_symmetry_space_group_name_Hall '-P 4 2'
_cell_length_a 5.754
_cell_length_b 5.754
_cell_length_c 3.708
_cell_angle_alpha 90.00
_cell_angle_beta 90.00
_cell_angle_gamma 90.00
loop_
_atom_site_label
_atom_site_fract_x
_atom_site_fract_y
_atom_site_fract_z
Sb1 0.000 0.000 0.000
Rh1 0.500 0.500 0.500
I1 0.000 0.500 0.500
N1 0.500 0.500 0.000
# Crystal system ... tetragonal

***

In terms of stability, (2) leads; the second structure lies 63.3 kJ/mol of atoms higher.

***

(1)
# RhSeIN2 | the Alexandria database | GGA-PBE | relaxed
data_RhSeIN2
_symmetry_space_group_name_H-M 'P 4/m m m'
_symmetry_Int_Tables_number 123
_symmetry_space_group_name_Hall '-P 4 2'
_cell_length_a 3.926
_cell_length_b 3.926
_cell_length_c 5.792
_cell_angle_alpha 90.00
_cell_angle_beta 90.00
_cell_angle_gamma 90.00
loop_
_atom_site_label
_atom_site_fract_x
_atom_site_fract_y
_atom_site_fract_z
Rh1 0.000 0.000 0.000
Se1 0.000 0.000 0.500
I1 0.500 0.500 0.500
N1 0.000 0.500 0.000
# Crystal system ... tetragonal

***

(2)
# RhSeIN2 | the Alexandria database | GGA-PBE | relaxed
data_RhSeIN2
_symmetry_space_group_name_H-M 'P 4/m m m'
_symmetry_Int_Tables_number 123
_symmetry_space_group_name_Hall '-P 4 2'
_cell_length_a 3.757
_cell_length_b 3.757
_cell_length_c 8.424
_cell_angle_alpha 90.00
_cell_angle_beta 90.00
_cell_angle_gamma 90.00
loop_
_atom_site_label
_atom_site_fract_x
_atom_site_fract_y
_atom_site_fract_z
Rh1 0.000 0.000 0.000
Se1 0.500 0.500 0.500
I1 0.500 0.500 0.000
N1 0.000 0.500 0.500
# Crystal system ... tetragonal

***

In terms of stability, (1) leads; the second structure lies 47.5 kJ/mol of atoms higher.

***

(1)
# RhSeIN2 | the Alexandria database | GGA-PBE | relaxed
data_RhSeIN2
_symmetry_space_group_name_H-M 'P 4/m m m'
_symmetry_Int_Tables_number 123
_symmetry_space_group_name_Hall '-P 4 2'
_cell_length_a 3.873
_cell_length_b 3.873
_cell_length_c 6.178
_cell_angle_alpha 90.00
_cell_angle_beta 90.00
_cell_angle_gamma 90.00
loop_
_atom_site_label
_atom_site_fract_x
_atom_site_fract_y
_atom_site_fract_z
Rh1 0.000 0.000 0.000
Se1 0.500 0.500 0.000
I1 0.500 0.500 0.500
N1 0.000 0.500 0.500
# Crystal system ... tetragonal

***

(2)
# RhSeIN2 | the Alexandria database | GGA-PBE | relaxed
data_RhSeIN2
_symmetry_space_group_name_H-M 'P 4/m m m'
_symmetry_Int_Tables_number 123
_symmetry_space_group_name_Hall '-P 4 2'
_cell_length_a 3.860
_cell_length_b 3.860
_cell_length_c 8.402
_cell_angle_alpha 90.00
_cell_angle_beta 90.00
_cell_angle_gamma 90.00
loop_
_atom_site_label
_atom_site_fract_x
_atom_site_fract_y
_atom_site_fract_z
Rh1 0.000 0.000 0.000
Se1 0.500 0.500 0.500
I1 0.000 0.000 0.500
N1 0.000 0.500 0.000
# Crystal system ... tetragonal

***

In terms of stability, (2) leads; the second structure lies 75.9 kJ/mol of atoms higher.

***

(1)
# RhSeI2N | the Alexandria database | GGA-PBE | relaxed
data_RhSeI2N
_symmetry_space_group_name_H-M 'P 4/m m m'
_symmetry_Int_Tables_number 123
_symmetry_space_group_name_Hall '-P 4 2'
_cell_length_a 5.868
_cell_length_b 5.868
_cell_length_c 3.647
_cell_angle_alpha 90.00
_cell_angle_beta 90.00
_cell_angle_gamma 90.00
loop_
_atom_site_label
_atom_site_fract_x
_atom_site_fract_y
_atom_site_fract_z
Rh1 0.000 0.000 0.000
Se1 0.500 0.500 0.500
I1 0.000 0.500 0.500
N1 0.500 0.500 0.000
# Crystal system ... tetragonal

***

(2)
# RhSeI2N | the Alexandria database | GGA-PBE | relaxed
data_RhSeI2N
_symmetry_space_group_name_H-M 'P 4/m m m'
_symmetry_Int_Tables_number 123
_symmetry_space_group_name_Hall '-P 4 2'
_cell_length_a 5.648
_cell_length_b 5.648
_cell_length_c 3.691
_cell_angle_alpha 90.00
_cell_angle_beta 90.00
_cell_angle_gamma 90.00
loop_
_atom_site_label
_atom_site_fract_x
_atom_site_fract_y
_atom_site_fract_z
Rh1 0.000 0.000 0.000
Se1 0.500 0.500 0.500
I1 0.000 0.500 0.000
N1 0.000 0.000 0.500
# Crystal system ... tetragonal

***

In terms of stability, (2) leads; the second structure lies 59.2 kJ/mol of atoms higher.

***

(1)
# SiRhI2N | the Alexandria database | GGA-PBE | relaxed
data_SiRhI2N
_symmetry_space_group_name_H-M 'P 4/m m m'
_symmetry_Int_Tables_number 123
_symmetry_space_group_name_Hall '-P 4 2'
_cell_length_a 5.561
_cell_length_b 5.561
_cell_length_c 3.288
_cell_angle_alpha 90.00
_cell_angle_beta 90.00
_cell_angle_gamma 90.00
loop_
_atom_site_label
_atom_site_fract_x
_atom_site_fract_y
_atom_site_fract_z
Si1 0.000 0.000 0.000
Rh1 0.500 0.500 0.500
I1 0.000 0.500 0.000
N1 0.000 0.000 0.500
# Crystal system ... tetragonal

***

(2)
# SiRhI2N | the Alexandria database | GGA-PBE | relaxed
data_SiRhI2N
_symmetry_space_group_name_H-M 'P 4/m m m'
_symmetry_Int_Tables_number 123
_symmetry_space_group_name_Hall '-P 4 2'
_cell_length_a 5.601
_cell_length_b 5.601
_cell_length_c 3.714
_cell_angle_alpha 90.00
_cell_angle_beta 90.00
_cell_angle_gamma 90.00
loop_
_atom_site_label
_atom_site_fract_x
_atom_site_fract_y
_atom_site_fract_z
Si1 0.000 0.000 0.000
Rh1 0.500 0.500 0.500
I1 0.000 0.500 0.500
N1 0.500 0.500 0.000
# Crystal system ... tetragonal

***

In terms of stability, (1) leads; the second structure lies 7.0 kJ/mol of atoms higher.

***

(1)
# SiRhIN2 | the Alexandria database | GGA-PBE | relaxed
data_SiRhIN2
_symmetry_space_group_name_H-M 'P 4/m m m'
_symmetry_Int_Tables_number 123
_symmetry_space_group_name_Hall '-P 4 2'
_cell_length_a 3.552
_cell_length_b 3.552
_cell_length_c 8.063
_cell_angle_alpha 90.00
_cell_angle_beta 90.00
_cell_angle_gamma 90.00
loop_
_atom_site_label
_atom_site_fract_x
_atom_site_fract_y
_atom_site_fract_z
Si1 0.000 0.000 0.000
Rh1 0.500 0.500 0.500
I1 0.000 0.000 0.500
N1 0.000 0.500 0.000
# Crystal system ... tetragonal

***

(2)
# SiRhIN2 | the Alexandria database | GGA-PBE | relaxed
data_SiRhIN2
_symmetry_space_group_name_H-M 'P 4/m m m'
_symmetry_Int_Tables_number 123
_symmetry_space_group_name_Hall '-P 4 2'
_cell_length_a 3.831
_cell_length_b 3.831
_cell_length_c 7.830
_cell_angle_alpha 90.00
_cell_angle_beta 90.00
_cell_angle_gamma 90.00
loop_
_atom_site_label
_atom_site_fract_x
_atom_site_fract_y
_atom_site_fract_z
Si1 0.000 0.000 0.000
Rh1 0.500 0.500 0.500
I1 0.500 0.500 0.000
N1 0.000 0.500 0.500
# Crystal system ... tetragonal

***

In terms of stability, (1) leads; the second structure lies 48.6 kJ/mol of atoms higher.

***

(1)
# SrRhIN2 | the Alexandria database | GGA-PBE | relaxed
data_SrRhIN2
_symmetry_space_group_name_H-M 'P 4/m m m'
_symmetry_Int_Tables_number 123
_symmetry_space_group_name_Hall '-P 4 2'
_cell_length_a 4.808
_cell_length_b 4.808
_cell_length_c 6.703
_cell_angle_alpha 90.00
_cell_angle_beta 90.00
_cell_angle_gamma 90.00
loop_
_atom_site_label
_atom_site_fract_x
_atom_site_fract_y
_atom_site_fract_z
Sr1 0.000 0.000 0.000
Rh1 0.500 0.500 0.500
I1 0.000 0.000 0.500
N1 0.000 0.500 0.000
# Crystal system ... tetragonal

***

(2)
# SrRhIN2 | the Alexandria database | GGA-PBE | relaxed
data_SrRhIN2
_symmetry_space_group_name_H-M 'P 4/m m m'
_symmetry_Int_Tables_number 123
_symmetry_space_group_name_Hall '-P 4 2'
_cell_length_a 4.284
_cell_length_b 4.284
_cell_length_c 5.427
_cell_angle_alpha 90.00
_cell_angle_beta 90.00
_cell_angle_gamma 90.00
loop_
_atom_site_label
_atom_site_fract_x
_atom_site_fract_y
_atom_site_fract_z
Sr1 0.000 0.000 0.000
Rh1 0.500 0.500 0.500
I1 0.500 0.500 0.000
N1 0.000 0.500 0.500
# Crystal system ... tetragonal

***

In terms of stability, (2) leads; the second structure lies 105.0 kJ/mol of atoms higher.